Computed, not measured: a crystal of Ca2CuHgH relaxed with PBEsol at the SCAN level of DFT.

Properties
Its space group is No. 123. The calculation puts the calculated total energy at -21.430 eV per atom. The calculation puts the density of states at the Fermi level at 2.5 states/eV/f.u.

Geometry as POSCAR:
```
Ca2CuHgH
1.0
4.7935 0.0000 0.0000
0.0000 4.7935 0.0000
0.0000 0.0000 4.1600
Ca Cu Hg H
2 1 1 1
Cartesian
0.0000 2.3968 0.0000 Ca
2.3968 0.0000 0.0000 Ca
0.0000 0.0000 2.0800 Cu
2.3968 2.3968 2.0800 Hg
2.3968 2.3968 0.0000 H
```